1.
# Nd2ErCd8 (GGA-PBE, relaxed)
data_Nd2ErCd8
_cell_length_a 9.045
_cell_length_b 9.045
_cell_length_c 5.344
_cell_angle_alpha 107.17
_cell_angle_beta 107.17
_cell_angle_gamma 124.65
_symmetry_space_group_name_H-M 'P 1'
_symmetry_Int_Tables_number 1
loop_
_symmetry_equiv_pos_as_xyz
'x,y,z'
loop_
_atom_site_label
_atom_site_fract_x
_atom_site_fract_y
_atom_site_fract_z
Nd1 0.191 0.809 0.000
Nd2 0.809 0.191 0.000
Er1 0.500 0.500 0.500
Cd1 0.006 0.006 0.758
Cd2 0.149 0.398 0.772
Cd3 0.303 0.697 0.500
Cd4 0.398 0.149 0.772
Cd5 0.602 0.851 0.228
Cd6 0.697 0.303 0.500
Cd7 0.851 0.602 0.228
Cd8 0.994 0.994 0.242
# **Energy relative to the elements**: -0.237 eV per atom

2.
# SrPuHg6 (GGA-PBE, relaxed)
data_SrPuHg6
_cell_length_a 5.323
_cell_length_b 6.939
_cell_length_c 5.706
_cell_angle_alpha 90.00
_cell_angle_beta 90.00
_cell_angle_gamma 90.00
_symmetry_space_group_name_H-M 'P 1'
_symmetry_Int_Tables_number 1
loop_
_symmetry_equiv_pos_as_xyz
'x,y,z'
loop_
_atom_site_label
_atom_site_fract_x
_atom_site_fract_y
_atom_site_fract_z
Sr1 0.000 0.000 0.000
Pu1 0.500 0.500 0.318
Hg1 0.000 0.263 0.491
Hg2 0.000 0.500 0.988
Hg3 0.000 0.737 0.491
Hg4 0.500 0.000 0.365
Hg5 0.500 0.264 0.827
Hg6 0.500 0.736 0.827
# **Energy relative to the elements**: -0.267 eV per atom

3.
# LiNbGa2 (GGA-PBE, relaxed)
data_LiNbGa2
_cell_length_a 4.508
_cell_length_b 4.508
_cell_length_c 4.508
_cell_angle_alpha 60.00
_cell_angle_beta 60.00
_cell_angle_gamma 60.00
_symmetry_space_group_name_H-M 'P 1'
_symmetry_Int_Tables_number 1
loop_
_symmetry_equiv_pos_as_xyz
'x,y,z'
loop_
_atom_site_label
_atom_site_fract_x
_atom_site_fract_y
_atom_site_fract_z
Li1 0.000 0.000 0.000
Nb1 0.500 0.500 0.500
Ga1 0.250 0.250 0.250
Ga2 0.750 0.750 0.750
# **Offset from the most stable computed form**: 247 meV per atom
# **Energy relative to the elements**: -0.064 eV per atom

4.
# AlSi2Se (GGA-PBE, relaxed)
data_AlSi2Se
_cell_length_a 4.595
_cell_length_b 4.595
_cell_length_c 4.595
_cell_angle_alpha 60.00
_cell_angle_beta 60.00
_cell_angle_gamma 60.00
_symmetry_space_group_name_H-M 'P 1'
_symmetry_Int_Tables_number 1
loop_
_symmetry_equiv_pos_as_xyz
'x,y,z'
loop_
_atom_site_label
_atom_site_fract_x
_atom_site_fract_y
_atom_site_fract_z
Al1 0.000 0.000 0.000
Si1 0.250 0.250 0.250
Si2 0.500 0.500 0.500
Se1 0.750 0.750 0.750
# **Offset from the most stable computed form**: 465 meV per atom
# **Energy relative to the elements, uncorrected**: 1.715 eV/f.u.

5.
# Pm3DyEr (GGA-PBE, relaxed)
data_Pm3DyEr
_cell_length_a 6.322
_cell_length_b 5.768
_cell_length_c 9.669
_cell_angle_alpha 90.00
_cell_angle_beta 109.07
_cell_angle_gamma 90.00
_symmetry_space_group_name_H-M 'P 1'
_symmetry_Int_Tables_number 1
loop_
_symmetry_equiv_pos_as_xyz
'x,y,z'
loop_
_atom_site_label
_atom_site_fract_x
_atom_site_fract_y
_atom_site_fract_z
Pm1 0.033 0.250 0.398
Pm2 0.168 0.750 0.000
Pm3 0.365 0.750 0.398
Pm4 0.635 0.250 0.602
Pm5 0.832 0.250 0.000
Pm6 0.967 0.750 0.602
Dy1 0.236 0.250 0.801
Dy2 0.764 0.750 0.199
Er1 0.436 0.250 0.199
Er2 0.564 0.750 0.801
# **Offset from the most stable computed form**: 0 meV per atom
# **Energy relative to the elements**: 0.019 eV per atom

6.
# MgMnIn4 (GGA-PBE, relaxed)
data_MgMnIn4
_cell_length_a 6.011
_cell_length_b 6.011
_cell_length_c 6.011
_cell_angle_alpha 60.00
_cell_angle_beta 60.00
_cell_angle_gamma 60.00
_symmetry_space_group_name_H-M 'P 1'
_symmetry_Int_Tables_number 1
loop_
_symmetry_equiv_pos_as_xyz
'x,y,z'
loop_
_atom_site_label
_atom_site_fract_x
_atom_site_fract_y
_atom_site_fract_z
Mg1 0.000 0.000 0.000
Mn1 0.750 0.750 0.750
In1 0.375 0.375 0.375
In2 0.375 0.375 0.875
In3 0.375 0.875 0.375
In4 0.875 0.375 0.375
# **Energy relative to the elements**: 0.389 eV per atom

7.
# Hg2PdC2 (GGA-PBE, relaxed)
data_Hg2PdC2
_cell_length_a 5.449
_cell_length_b 5.449
_cell_length_c 5.449
_cell_angle_alpha 134.86
_cell_angle_beta 134.86
_cell_angle_gamma 65.74
_symmetry_space_group_name_H-M 'P 1'
_symmetry_Int_Tables_number 1
loop_
_symmetry_equiv_pos_as_xyz
'x,y,z'
loop_
_atom_site_label
_atom_site_fract_x
_atom_site_fract_y
_atom_site_fract_z
Hg1 0.250 0.750 0.500
Hg2 0.750 0.250 0.500
Pd1 0.000 0.000 0.000
C1 0.428 0.428 0.000
C2 0.572 0.572 0.000
# **Offset from the most stable computed form**: 444 meV per atom
# **Energy relative to the elements**: 1.325 eV per atom

8.
# Pr3Pd4Au2 (GGA-PBE, relaxed)
data_Pr3Pd4Au2
_cell_length_a 7.754
_cell_length_b 7.754
_cell_length_c 7.234
_cell_angle_alpha 100.79
_cell_angle_beta 100.79
_cell_angle_gamma 84.34
_symmetry_space_group_name_H-M 'P 1'
_symmetry_Int_Tables_number 1
loop_
_symmetry_equiv_pos_as_xyz
'x,y,z'
loop_
_atom_site_label
_atom_site_fract_x
_atom_site_fract_y
_atom_site_fract_z
Pr1 0.088 0.912 0.750
Pr2 0.237 0.477 0.364
Pr3 0.477 0.237 0.864
Pr4 0.523 0.763 0.136
Pr5 0.763 0.523 0.636
Pr6 0.912 0.088 0.250
Pd1 0.096 0.271 0.603
Pd2 0.254 0.556 0.830
Pd3 0.271 0.096 0.103
Pd4 0.444 0.746 0.670
Pd5 0.556 0.254 0.330
Pd6 0.729 0.904 0.897
Pd7 0.746 0.444 0.170
Pd8 0.904 0.729 0.397
Au1 0.000 0.313 0.953
Au2 0.000 0.687 0.047
Au3 0.313 0.000 0.453
Au4 0.687 0.000 0.547
# **Offset from the most stable computed form**: 64 meV per atom
# **Energy relative to the elements**: -0.655 eV per atom

no.,total energy (eV/atom)
1,-2.1842
2,-2.4951
3,-4.5736
4,-4.0896
5,-4.6639
6,-3.2310
7,-3.5241
8,-5.2845